--- i ---
Entry from Alexandria via LeMat-Bulk: Na3HgIr after structural relaxation (PBE-GGA).

Density of states at the Fermi level = 2.95 states/eV/f.u.

```
data_Na3HgIr
_cell_length_a 5.473
_cell_length_b 5.473
_cell_length_c 5.473
_cell_angle_alpha 90.00
_cell_angle_beta 90.00
_cell_angle_gamma 90.00
_symmetry_space_group_name_H-M 'P m -3 m'
_symmetry_Int_Tables_number 221
_symmetry_space_group_name_Hall '-P 4 2 3'
loop_
_atom_site_label
_atom_site_type_symbol
_atom_site_fract_x
_atom_site_fract_y
_atom_site_fract_z
_atom_site_occupancy
Na1 Na 0.000 0.000 0.500 1
Hg1 Hg 0.500 0.500 0.500 1
Ir1 Ir 0.000 0.000 0.000 1
```



--- ii ---
Entry from Alexandria via LeMat-Bulk: Na3HgIr after structural relaxation (PBE-GGA).

Density of states at the Fermi level = 4.24 states/eV/f.u.

```
data_Na3HgIr
_cell_length_a 5.387
_cell_length_b 5.387
_cell_length_c 5.387
_cell_angle_alpha 90.00
_cell_angle_beta 90.00
_cell_angle_gamma 90.00
_symmetry_space_group_name_H-M 'P m -3 m'
_symmetry_Int_Tables_number 221
_symmetry_space_group_name_Hall '-P 4 2 3'
loop_
_atom_site_label
_atom_site_type_symbol
_atom_site_fract_x
_atom_site_fract_y
_atom_site_fract_z
_atom_site_occupancy
Na1 Na 0.000 0.000 0.500 1
Hg1 Hg 0.000 0.000 0.000 1
Ir1 Ir 0.500 0.500 0.500 1
```



Most stable structure: i



--- i ---
Entry from Alexandria via LeMat-Bulk: Nb2Hg2Ir after structural relaxation (PBE-GGA).

Density of states at the Fermi level = 4.25 states/eV/f.u.

```
data_Nb2Hg2Ir
_cell_length_a 3.783
_cell_length_b 3.783
_cell_length_c 14.790
_cell_angle_alpha 90.00
_cell_angle_beta 90.00
_cell_angle_gamma 90.00
_symmetry_space_group_name_H-M 'I 4/m m m'
_symmetry_Int_Tables_number 139
_symmetry_space_group_name_Hall '-I 4 2'
loop_
_atom_site_label
_atom_site_type_symbol
_atom_site_fract_x
_atom_site_fract_y
_atom_site_fract_z
_atom_site_occupancy
Nb1 Nb 0.000 0.000 0.079 1
Hg1 Hg 0.000 0.500 0.250 1
Ir1 Ir 0.000 0.000 0.500 1
```



--- ii ---
Entry from Alexandria via LeMat-Bulk: Nb2Hg2Ir after structural relaxation (PBE-GGA).

Density of states at the Fermi level = 5.79 states/eV/f.u.

```
data_Nb2Hg2Ir
_cell_length_a 6.608
_cell_length_b 6.608
_cell_length_c 4.769
_cell_angle_alpha 90.00
_cell_angle_beta 90.00
_cell_angle_gamma 90.00
_symmetry_space_group_name_H-M 'P 4/m b m'
_symmetry_Int_Tables_number 127
_symmetry_space_group_name_Hall '-P 4 2ab'
loop_
_atom_site_label
_atom_site_type_symbol
_atom_site_fract_x
_atom_site_fract_y
_atom_site_fract_z
_atom_site_occupancy
Nb1 Nb 0.144 0.356 0.000 1
Hg1 Hg 0.164 0.664 0.500 1
Ir1 Ir 0.000 0.000 0.000 1
```



Most stable structure: ii



--- i ---
Entry from Alexandria via LeMat-Bulk: Nb2HgIr2 after structural relaxation (PBE-GGA).

Density of states at the Fermi level = 2.58 states/eV/f.u.

```
data_Nb2HgIr2
_cell_length_a 7.781
_cell_length_b 7.781
_cell_length_c 2.922
_cell_angle_alpha 90.00
_cell_angle_beta 90.00
_cell_angle_gamma 90.00
_symmetry_space_group_name_H-M 'P 4/m b m'
_symmetry_Int_Tables_number 127
_symmetry_space_group_name_Hall '-P 4 2ab'
loop_
_atom_site_label
_atom_site_type_symbol
_atom_site_fract_x
_atom_site_fract_y
_atom_site_fract_z
_atom_site_occupancy
Nb1 Nb 0.164 0.336 0.000 1
Hg1 Hg 0.000 0.000 0.500 1
Ir1 Ir 0.128 0.628 0.500 1
```



--- ii ---
Entry from Alexandria via LeMat-Bulk: Nb2HgIr2 after structural relaxation (PBE-GGA).

Density of states at the Fermi level = 0.75 states/eV/f.u.

```
data_Nb2HgIr2
_cell_length_a 4.438
_cell_length_b 4.438
_cell_length_c 10.212
_cell_angle_alpha 90.00
_cell_angle_beta 90.00
_cell_angle_gamma 90.00
_symmetry_space_group_name_H-M 'I 4/m m m'
_symmetry_Int_Tables_number 139
_symmetry_space_group_name_Hall '-I 4 2'
loop_
_atom_site_label
_atom_site_type_symbol
_atom_site_fract_x
_atom_site_fract_y
_atom_site_fract_z
_atom_site_occupancy
Nb1 Nb 0.000 0.500 0.250 1
Hg1 Hg 0.000 0.000 0.000 1
Ir1 Ir 0.000 0.000 0.377 1
```



Most stable structure: i



--- i ---
Entry from Alexandria via LeMat-Bulk: NbHg2Ir after structural relaxation (PBE-GGA).

Density of states at the Fermi level = 4.45 states/eV/f.u.

```
data_NbHg2Ir
_cell_length_a 7.737
_cell_length_b 7.737
_cell_length_c 5.452
_cell_angle_alpha 90.00
_cell_angle_beta 90.00
_cell_angle_gamma 90.00
_symmetry_space_group_name_H-M 'I -4 2 d'
_symmetry_Int_Tables_number 122
_symmetry_space_group_name_Hall 'I -4 2bw'
loop_
_atom_site_label
_atom_site_type_symbol
_atom_site_fract_x
_atom_site_fract_y
_atom_site_fract_z
_atom_site_occupancy
Nb1 Nb 0.000 0.000 0.000 1
Hg1 Hg 0.237 0.250 0.625 1
Ir1 Ir 0.000 0.000 0.500 1
```



--- ii ---
Entry from Alexandria via LeMat-Bulk: NbHg2Ir after structural relaxation (PBE-GGA).

Density of states at the Fermi level = 2.21 states/eV/f.u.

```
data_NbHg2Ir
_cell_length_a 6.620
_cell_length_b 6.620
_cell_length_c 6.620
_cell_angle_alpha 90.00
_cell_angle_beta 90.00
_cell_angle_gamma 90.00
_symmetry_space_group_name_H-M 'F m -3 m'
_symmetry_Int_Tables_number 225
_symmetry_space_group_name_Hall '-F 4 2 3'
loop_
_atom_site_label
_atom_site_type_symbol
_atom_site_fract_x
_atom_site_fract_y
_atom_site_fract_z
_atom_site_occupancy
Nb1 Nb 0.000 0.000 0.000 1
Hg1 Hg 0.250 0.250 0.250 1
Ir1 Ir 0.000 0.000 0.500 1
```



Most stable structure: ii



--- i ---
Entry from Alexandria via LeMat-Bulk: Nd3Hg2Ir after structural relaxation (PBE-GGA).

Density of states at the Fermi level = 4.26 states/eV/f.u.

```
data_Nd3Hg2Ir
_cell_length_a 5.211
_cell_length_b 15.781
_cell_length_c 7.638
_cell_angle_alpha 90.00
_cell_angle_beta 90.00
_cell_angle_gamma 90.00
_symmetry_space_group_name_H-M 'C m m m'
_symmetry_Int_Tables_number 65
_symmetry_space_group_name_Hall '-C 2 2'
loop_
_atom_site_label
_atom_site_type_symbol
_atom_site_fract_x
_atom_site_fract_y
_atom_site_fract_z
_atom_site_occupancy
Nd1 Nd 0.000 0.000 0.237 1
Nd2 Nd 0.000 0.325 0.223 1
Hg1 Hg 0.000 0.166 0.500 1
Hg2 Hg 0.000 0.500 0.000 1
Hg3 Hg 0.000 0.500 0.500 1
Ir1 Ir 0.000 0.152 0.000 1
```



--- ii ---
Entry from Alexandria via LeMat-Bulk: Nd3Hg2Ir after structural relaxation (PBE-GGA).

Density of states at the Fermi level = 4.31 states/eV/f.u.

```
data_Nd3Hg2Ir
_cell_length_a 4.030
_cell_length_b 5.984
_cell_length_c 14.778
_cell_angle_alpha 90.00
_cell_angle_beta 90.00
_cell_angle_gamma 90.00
_symmetry_space_group_name_H-M 'I m m m'
_symmetry_Int_Tables_number 71
_symmetry_space_group_name_Hall '-I 2 2'
loop_
_atom_site_label
_atom_site_type_symbol
_atom_site_fract_x
_atom_site_fract_y
_atom_site_fract_z
_atom_site_occupancy
Nd1 Nd 0.000 0.000 0.000 1
Nd2 Nd 0.000 0.000 0.367 1
Hg1 Hg 0.000 0.500 0.309 1
Ir1 Ir 0.000 0.500 0.000 1
```



Most stable structure: i



--- i ---
Entry from Alexandria via LeMat-Bulk: NdThHgIr after structural relaxation (PBE-GGA).

Density of states at the Fermi level = 2.94 states/eV/f.u.

```
data_NdThHgIr
_cell_length_a 4.1737
_cell_length_b 4.1737
_cell_length_c 23.1615
_cell_angle_alpha 90.00
_cell_angle_beta 90.00
_cell_angle_gamma 120.00
_symmetry_space_group_name_H-M 'R 3 m'
_symmetry_Int_Tables_number 160
_symmetry_space_group_name_Hall 'R 3 -2"'
loop_
_atom_site_label
_atom_site_type_symbol
_atom_site_fract_x
_atom_site_fract_y
_atom_site_fract_z
_atom_site_occupancy
Nd1 Nd 0.0000 0.0000 0.0000 1
Th1 Th 0.0000 0.0000 0.1998 1
Hg1 Hg 0.0000 0.0000 0.7665 1
Ir1 Ir 0.0000 0.0000 0.5960 1
```



--- ii ---
Entry from Alexandria via LeMat-Bulk: NdThHgIr after structural relaxation (PBE-GGA).

Density of states at the Fermi level = 3.61 states/eV/f.u.

```
data_NdThHgIr
_cell_length_a 7.373
_cell_length_b 7.373
_cell_length_c 7.373
_cell_angle_alpha 90.00
_cell_angle_beta 90.00
_cell_angle_gamma 90.00
_symmetry_space_group_name_H-M 'F -4 3 m'
_symmetry_Int_Tables_number 216
_symmetry_space_group_name_Hall 'F -4 2 3'
loop_
_atom_site_label
_atom_site_type_symbol
_atom_site_fract_x
_atom_site_fract_y
_atom_site_fract_z
_atom_site_occupancy
Nd1 Nd 0.000 0.000 0.000 1
Th1 Th 0.000 0.000 0.500 1
Hg1 Hg 0.250 0.250 0.250 1
Ir1 Ir 0.250 0.250 0.750 1
```



Most stable structure: i



--- i ---
Entry from Alexandria via LeMat-Bulk: NiHg2Ir after structural relaxation (PBE-GGA).

Density of states at the Fermi level = 5.28 states/eV/f.u.

```
data_NiHg2Ir
_cell_length_a 3.969
_cell_length_b 3.969
_cell_length_c 19.032
_cell_angle_alpha 90.00
_cell_angle_beta 90.00
_cell_angle_gamma 90.00
_symmetry_space_group_name_H-M 'I -4 2 d'
_symmetry_Int_Tables_number 122
_symmetry_space_group_name_Hall 'I -4 2bw'
loop_
_atom_site_label
_atom_site_type_symbol
_atom_site_fract_x
_atom_site_fract_y
_atom_site_fract_z
_atom_site_occupancy
Ni1 Ni 0.000 0.000 0.000 1
Hg1 Hg 0.248 0.250 0.125 1
Ir1 Ir 0.000 0.000 0.500 1
```



--- ii ---
Entry from Alexandria via LeMat-Bulk: NiHg2Ir after structural relaxation (PBE-GGA).

Density of states at the Fermi level = 3.60 states/eV/f.u.

```
data_NiHg2Ir
_cell_length_a 2.938
_cell_length_b 4.722
_cell_length_c 9.925
_cell_angle_alpha 90.00
_cell_angle_beta 90.00
_cell_angle_gamma 90.00
_symmetry_space_group_name_H-M 'I m m 2'
_symmetry_Int_Tables_number 44
_symmetry_space_group_name_Hall 'I 2 -2'
loop_
_atom_site_label
_atom_site_type_symbol
_atom_site_fract_x
_atom_site_fract_y
_atom_site_fract_z
_atom_site_occupancy
Ni1 Ni 0.000 0.000 0.000 1
Hg1 Hg 0.000 0.000 0.531 1
Hg2 Hg 0.000 0.500 0.746 1
Ir1 Ir 0.000 0.500 0.297 1
```



Most stable structure: ii



--- i ---
Entry from Alexandria via LeMat-Bulk: NiHg2Ir after structural relaxation (PBE-GGA).

Density of states at the Fermi level = 1.09 states/eV/f.u.

```
data_NiHg2Ir
_cell_length_a 4.542
_cell_length_b 4.542
_cell_length_c 3.264
_cell_angle_alpha 90.00
_cell_angle_beta 90.00
_cell_angle_gamma 90.00
_symmetry_space_group_name_H-M 'P 4/m m m'
_symmetry_Int_Tables_number 123
_symmetry_space_group_name_Hall '-P 4 2'
loop_
_atom_site_label
_atom_site_type_symbol
_atom_site_fract_x
_atom_site_fract_y
_atom_site_fract_z
_atom_site_occupancy
Ni1 Ni 0.000 0.000 0.000 1
Hg1 Hg 0.000 0.500 0.500 1
Ir1 Ir 0.500 0.500 0.000 1
```



--- ii ---
Entry from Alexandria via LeMat-Bulk: NiHg2Ir after structural relaxation (PBE-GGA).

Density of states at the Fermi level = 5.18 states/eV/f.u.

```
data_NiHg2Ir
_cell_length_a 3.077
_cell_length_b 4.356
_cell_length_c 5.407
_cell_angle_alpha 90.00
_cell_angle_beta 105.87
_cell_angle_gamma 90.00
_symmetry_space_group_name_H-M 'P 1 m 1'
_symmetry_Int_Tables_number 6
_symmetry_space_group_name_Hall 'P -2y'
loop_
_atom_site_label
_atom_site_type_symbol
_atom_site_fract_x
_atom_site_fract_y
_atom_site_fract_z
_atom_site_occupancy
Ni1 Ni 0.000 0.000 0.000 1
Hg1 Hg 0.283 0.000 0.550 1
Hg2 Hg 0.596 0.500 0.196 1
Ir1 Ir 0.875 0.500 0.738 1
```



Most stable structure: i